The following is a DFT calculation (PBE-GGA) of an optimized crystal structure of In6HgBi.

The space group is P4/mmm (No. 123) and the conventional cell measures 4.6129, 4.6129 and 10.4745 Å, with angles of 90.00, 90.00 and 90.00 degrees. The inequivalent atoms are In at (0.0000, 0.0000, 0.0000), In at (0.0000, 0.0000, 0.5000), In at (0.0000, 0.5000, 0.2431), Hg at (0.5000, 0.5000, 0.0000) and Bi at (0.5000, 0.5000, 0.5000).

Its total DFT energy (no corrections) is -20.5 eV/f.u. The value obtained for the formation energy is 20 meV/atom.